Here is a geometry-optimized LaFeMo2 structure from Alexandria via LeMat-Bulk. Energies are from GGA-PBE.

Cell and atoms, written as POSCAR:
```
LaFeMo2
1.0
-2.422 2.422 8.171
2.422 -2.422 8.171
2.422 2.422 -8.171
La Fe Mo
2 2 4
Cartesian
2.422 1.211 2.043
0.000 1.211 6.128
2.422 -1.211 6.128
0.000 3.633 2.043
0.000 0.000 0.000
1.211 1.211 -4.086
1.211 -1.211 4.086
0.000 2.422 0.000
```

Calculated values
Spin magnetization, μB/cell: 1.11
Energy above the most stable polymorph in this dataset, eV per atom: 0.452
Energy of formation, meV per atom: 901

Here is a geometry-optimized CoSiBi2Ir structure from Alexandria via LeMat-Bulk. Energies are from GGA-PBE.

Cell and atoms, written as POSCAR:
```
CoSiBi2Ir
1.0
5.303 0.000 0.000
0.000 5.303 0.000
0.000 0.000 4.680
Co Si Bi Ir
1 1 2 1
Cartesian
0.000 0.000 0.000
2.652 2.652 0.000
0.000 2.652 2.340
2.652 0.000 2.340
0.000 0.000 2.340
```

Calculated values
Spin magnetization, μB/cell: 2.36
Formation energy without anion corrections, eV per atom: 1.0260

Here is a geometry-optimized HfSnW3 structure from Alexandria via LeMat-Bulk. Energies are from GGA-PBE.

Cell and atoms, written as POSCAR:
```
HfSnW3
1.0
4.856 0.000 0.000
0.000 4.856 0.000
0.000 0.000 4.856
Hf Sn W
1 1 3
Cartesian
0.000 0.000 0.000
2.428 2.428 2.428
0.000 2.428 2.428
2.428 0.000 2.428
2.428 2.428 0.000
```

Calculated values
Spin magnetization, μB/cell: 0.00
Energy above the most stable polymorph in this dataset, eV per atom: 0.000
Energy of formation, meV per atom: 2287

Here is a geometry-optimized GaSn2Mo structure from Alexandria via LeMat-Bulk. Energies are from GGA-PBE.

Cell and atoms, written as POSCAR:
```
GaSn2Mo
1.0
-4.010 4.010 2.839
4.010 -4.010 2.839
4.010 4.010 -2.839
Ga Sn Mo
2 4 2
Cartesian
0.000 0.000 0.000
0.000 4.010 1.420
2.005 -1.784 2.130
2.226 2.005 0.710
2.005 5.795 -0.710
1.784 2.005 3.549
4.010 0.000 1.420
0.000 0.000 2.839
```

Calculated values
Spin magnetization, μB/cell: 2.03
Energy of formation, meV per atom: 569

Here is a geometry-optimized Ca3Tl2Pt structure from Alexandria via LeMat-Bulk. Energies are from GGA-PBE.

Cell and atoms, written as POSCAR:
```
Ca3Tl2Pt
1.0
2.584 -7.715 0.000
2.584 7.715 0.000
0.000 0.000 7.961
Ca Tl Pt
6 4 2
Cartesian
0.000 0.000 1.859
0.000 0.000 6.102
2.584 2.705 1.728
2.584 2.705 6.233
2.584 -2.705 1.728
2.584 -2.705 6.233
2.584 5.158 3.980
2.584 0.000 0.000
2.584 0.000 3.980
2.584 -5.158 3.980
2.584 5.281 0.000
2.584 -5.281 0.000
```

Calculated values
Spin magnetization, μB/cell: 0.00
Energy of formation, meV per atom: -559

Here is a geometry-optimized Cs3BaSr structure from Alexandria via LeMat-Bulk. Energies are from GGA-PBE.

Cell and atoms, written as POSCAR:
```
Cs3BaSr
1.0
8.386 0.000 0.000
0.000 8.386 0.000
0.000 0.000 8.386
Cs Ba Sr
3 1 1
Cartesian
0.000 0.000 4.193
0.000 4.193 0.000
4.193 0.000 0.000
4.193 4.193 4.193
0.000 0.000 0.000
```

Calculated values
Spin magnetization, μB/cell: 0.00
Energy of formation, meV per atom: 477

Here is a geometry-optimized UGaSb2 structure from Alexandria via LeMat-Bulk. Energies are from GGA-PBE.

Cell and atoms, written as POSCAR:
```
UGaSb2
1.0
4.705 0.000 0.000
0.000 4.705 0.000
0.000 0.000 4.199
U Ga Sb
1 1 2
Cartesian
0.000 0.000 0.000
2.352 2.352 0.000
0.000 2.352 2.100
2.352 0.000 2.100
```

Calculated values
Spin magnetization, μB/cell: 1.67
Energy above the most stable polymorph in this dataset, eV per atom: 0.000
Formation energy without anion corrections, eV per atom: -0.2122

Here is a geometry-optimized Pr8Zn2Pt structure from Alexandria via LeMat-Bulk. Energies are from GGA-PBE.

Cell and atoms, written as POSCAR:
```
Pr8Zn2Pt
1.0
-2.534 4.375 7.323
2.534 -4.375 7.323
2.534 4.375 -7.323
Pr Zn Pt
8 2 1
Cartesian
2.534 2.446 -2.342
0.000 0.000 1.814
0.000 2.877 0.000
2.534 2.446 2.342
0.000 1.929 4.981
0.000 5.873 0.000
0.000 0.000 12.832
0.000 1.929 9.665
2.534 0.000 4.437
0.000 4.375 2.886
2.534 0.000 0.000
```

Calculated values
Spin magnetization, μB/cell: 0.00
Energy above the most stable polymorph in this dataset, eV per atom: 0.102
Energy of formation, meV per atom: -176

Here is a geometry-optimized Tl3Hg4Te structure from Alexandria via LeMat-Bulk. Energies are from GGA-PBE.

Cell and atoms, written as POSCAR:
```
Tl3Hg4Te
1.0
10.392 -2.276 0.000
10.392 2.276 0.000
-1.313 0.000 5.213
Tl Hg Te
3 4 1
Cartesian
0.000 0.000 0.000
1.757 0.000 3.225
17.713 0.000 1.988
4.835 0.000 1.302
6.474 0.000 4.544
12.997 0.000 0.669
14.636 0.000 3.910
9.735 0.000 2.606
```

Calculated values
Spin magnetization, μB/cell: 0.00
Formation energy without anion corrections, eV per atom: -0.1034

Here is a geometry-optimized Mg3Cd6Sn2 structure from Alexandria via LeMat-Bulk. Energies are from GGA-PBE.

Cell and atoms, written as POSCAR:
```
Mg3Cd6Sn2
1.0
3.170 -3.112 0.000
3.170 3.112 0.000
-0.120 0.000 13.731
Mg Cd Sn
3 6 2
Cartesian
0.000 0.000 0.000
6.300 0.000 4.242
-0.080 0.000 9.490
1.486 1.550 11.756
1.449 0.000 6.873
1.486 -1.550 11.756
4.734 1.550 1.976
4.771 0.000 6.859
4.734 -1.550 1.976
3.123 0.000 4.277
3.098 0.000 9.454
```

Calculated values
Spin magnetization, μB/cell: 0.00
Energy of formation, meV per atom: 0

Here is a geometry-optimized Y2TcW structure from Alexandria via LeMat-Bulk. Energies are from GGA-PBE.

Cell and atoms, written as POSCAR:
```
Y2TcW
1.0
-3.931 3.931 2.871
3.931 -3.931 2.871
3.931 3.931 -2.871
Y Tc W
4 2 2
Cartesian
5.897 1.783 -0.718
1.783 1.966 0.718
-1.966 2.148 2.153
2.148 1.966 3.588
0.000 0.000 0.000
0.000 3.931 1.435
3.931 0.000 1.435
0.000 0.000 2.871
```

Calculated values
Spin magnetization, μB/cell: 0.00
Energy above the most stable polymorph in this dataset, eV per atom: 0.938
Energy of formation, meV per atom: 1013

Here is a geometry-optimized Zr2CdSb structure from Alexandria via LeMat-Bulk. Energies are from GGA-PBE.

Cell and atoms, written as POSCAR:
```
Zr2CdSb
1.0
1.660 0.958 10.175
-1.660 0.958 10.175
0.000 -1.916 10.175
Zr Cd Sb
2 1 1
Cartesian
0.000 0.000 0.000
0.000 0.000 7.713
0.000 0.000 22.891
0.000 0.000 15.474
```

Calculated values
Spin magnetization, μB/cell: 0.00
Energy above the most stable polymorph in this dataset, eV per atom: 0.262
Formation energy without anion corrections, eV per atom: -0.0691

Here is a geometry-optimized HoErBeGa structure from Alexandria via LeMat-Bulk. Energies are from GGA-PBE.

Cell and atoms, written as POSCAR:
```
HoErBeGa
1.0
0.000 3.468 3.468
3.468 0.000 3.468
3.468 3.468 0.000
Ho Er Be Ga
1 1 1 1
Cartesian
0.000 0.000 0.000
3.468 3.468 3.468
1.734 1.734 1.734
5.203 5.203 5.203
```

Calculated values
Spin magnetization, μB/cell: 0.00
Energy of formation, meV per atom: -249